DFT (PBE-GGA) results for Zn2SnRu after structural relaxation.

Properties
- energy (eV per cell) = -29.1
- size of the total moment (μB/f.u.) = 0.00

Cell and atoms, written as POSCAR:
```
Zn2SnRu
1.0
7.611 0.000 0.000
0.000 7.611 0.000
3.805 3.805 2.608
Zn Ru Sn
4 2 2
Direct
0.875 0.828 0.750
0.172 0.625 0.250
0.375 0.422 0.750
0.578 0.125 0.250
0.500 0.500 0.000
0.250 0.750 0.500
0.000 0.000 0.000
0.750 0.250 0.500
```